(1)
The following is a DFT calculation (PBE-GGA) of a relaxed ZrMoBr crystal.

Output
Final energy ... -19.4 eV/cell
Distance to the lowest polymorph of the same formula ... 395 meV per atom
DOS(E_F) ... 1.1107 states/eV/atom
Space-group type ... No. 44
E_form (uncorrected) ... 0.55 eV per atom

```
ZrMoBr
1.0
-1.7314 4.5790 1.2695
-2.0504 0.3033 4.6130
4.2091 -1.0642 -2.5937
Mo Br Zr
1 1 1
direct
0.3244 0.3244 0.0000
0.0050 0.0050 0.0000
0.6706 0.6706 0.0000
```

---

(2)
The following is a DFT calculation (PBE-GGA) of a relaxed ZrMoBr crystal.

Output
Final energy ... -20.1 eV/cell
Distance to the lowest polymorph of the same formula ... 164 meV per atom
DOS(E_F) ... 1.4657 states/eV/atom
Space-group type ... No. 107
E_form (uncorrected) ... 0.32 eV per atom

```
ZrMoBr
1.0
6.3892 -0.0065 0.0000
4.7856 4.2332 0.0000
-5.5874 -2.1134 2.2664
Mo Br Zr
1 1 1
direct
0.3257 0.3257 0.0000
0.9930 0.9930 0.0000
0.6813 0.6813 0.0000
```

---

(3)
The following is a DFT calculation (PBE-GGA) of a relaxed ZrMoBr2 crystal.

Output
Final energy ... -21.1 eV/cell
Distance to the lowest polymorph of the same formula ... 663 meV per atom
DOS(E_F) ... 1.1595 states/eV/atom
Space-group type ... No. 65
E_form (uncorrected) ... 0.41 eV per atom

```
ZrMoBr2
1.0
-0.7148 1.1517 3.0874
-2.2176 -1.4279 -2.1007
1.9645 -8.2441 3.5301
Mo Br Zr
1 2 1
direct
0.5000 0.5000 0.2500
0.0000 0.0000 0.0101
0.0000 0.0000 0.4899
0.5000 0.5000 0.7500
```

---

(4)
The following is a DFT calculation (PBE-GGA) of a relaxed ZrMoBr2 crystal.

Output
Final energy ... -23.2 eV/cell
Distance to the lowest polymorph of the same formula ... 142 meV per atom
DOS(E_F) ... 0.2665 states/eV/atom
Space-group type ... No. 99
E_form (uncorrected) ... -0.11 eV per atom

```
ZrMoBr2
1.0
-1.0437 3.4476 0.1003
-2.7859 -0.7810 -2.1446
-4.3937 -1.5122 6.2584
Mo Br Zr
1 2 1
direct
0.0000 0.0000 0.5592
0.0000 0.0000 0.9075
0.5000 0.5000 0.3347
0.5000 0.5000 0.6986
```

---

(5)
The following is a DFT calculation (PBE-GGA) of a relaxed ZrMo4Br crystal.

Output
Final energy ... -50.2 eV/cell
DOS(E_F) ... 0.7863 states/eV/atom
Space-group type ... No. 216
E_form (uncorrected) ... 0.55 eV per atom

```
ZrMo4Br
1.0
-4.9833 -1.5494 1.2719
-2.9793 2.9949 3.3175
-4.2250 2.7185 -1.9000
Zr Mo Br
1 4 1
direct
0.7500 0.7500 0.7500
0.8764 0.3745 0.3745
0.3745 0.3745 0.8764
0.3745 0.8764 0.3745
0.3745 0.3745 0.3745
0.0000 0.0000 0.0000
```

---

(6)
The following is a DFT calculation (PBE-GGA) of a relaxed Zr4MoBr crystal.

Output
Final energy ... -42.2 eV/cell
DOS(E_F) ... 1.1780 states/eV/atom
Space-group type ... No. 216
E_form (uncorrected) ... 0.74 eV per atom

```
Zr4MoBr
1.0
-1.9332 -3.4889 4.1328
-3.4191 2.0592 4.1303
-5.5464 -1.4854 0.1428
Zr Mo Br
4 1 1
direct
0.8842 0.3719 0.3719
0.3719 0.3719 0.8842
0.3719 0.8842 0.3719
0.3719 0.3719 0.3719
0.0000 0.0000 0.0000
0.7500 0.7500 0.7500
```